[1]
DFT (PBE-GGA) results for TaGaSn2 after structural relaxation.

Results
E_tot = -4.866 eV per atom
SG = I-42d, No. 122

Structure (POSCAR):
```
TaGaSn2
1.0
6.3894 0.0000 0.0000
0.0000 6.3894 0.0000
0.0000 0.0000 12.4255
Ta Ga Sn
4 4 8
Direct
0.0000 0.0000 0.0000
0.0000 0.5000 0.2500
0.5000 0.0000 0.7500
0.5000 0.5000 0.5000
0.0000 0.0000 0.5000
0.0000 0.5000 0.7500
0.5000 0.0000 0.2500
0.5000 0.5000 0.0000
0.2488 0.2500 0.6250
0.2500 0.7488 0.8750
0.2500 0.7512 0.3750
0.2512 0.2500 0.1250
0.7488 0.7500 0.1250
0.7500 0.2488 0.3750
0.7500 0.2512 0.8750
0.7512 0.7500 0.6250
```

***

[2]
DFT (PBE-GGA) results for Ta2Ga2Sn after structural relaxation.

Results
E_tot = -6.536 eV per atom
SG = P4/mbm, No. 127
Energy relative to the lowest polymorph listed for this composition = 133.0 meV/atom

Structure (POSCAR):
```
Ta2Ga2Sn
1.0
6.9792 0.0000 0.0000
0.0000 6.9792 0.0000
0.0000 0.0000 3.6518
Ta Ga Sn
4 4 2
Direct
0.1748 0.3252 0.0000
0.3252 0.8252 0.0000
0.6748 0.1748 0.0000
0.8252 0.6748 0.0000
0.1245 0.6245 0.5000
0.3755 0.1245 0.5000
0.6245 0.8755 0.5000
0.8755 0.3755 0.5000
0.0000 0.0000 0.5000
0.5000 0.5000 0.5000
```

***

[3]
DFT (PBE-GGA) results for Ta2Ga2Sn after structural relaxation.

Results
E_tot = -6.669 eV per atom
SG = P4/mbm, No. 127
Energy relative to the lowest polymorph listed for this composition = 0.0 meV/atom

Structure (POSCAR):
```
Ta2Ga2Sn
1.0
7.2476 0.0000 0.0000
0.0000 7.2476 0.0000
0.0000 0.0000 3.6431
Ta Ga Sn
4 4 2
Direct
0.1329 0.3671 0.0000
0.3671 0.8671 0.0000
0.6329 0.1329 0.0000
0.8671 0.6329 0.0000
0.1639 0.6639 0.5000
0.3361 0.1639 0.5000
0.6639 0.8361 0.5000
0.8361 0.3361 0.5000
0.0000 0.0000 0.0000
0.5000 0.5000 0.0000
```

***

[4]
DFT (PBE-GGA) results for Tb3GaSn2 after structural relaxation.

Results
E_tot = -4.818 eV per atom
SG = Pnma, No. 62

Structure (POSCAR):
```
Tb3GaSn2
1.0
12.2715 0.0000 0.0000
0.0000 4.4259 0.0000
0.0000 0.0000 11.8644
Tb Ga Sn
12 4 8
Direct
0.0502 0.2500 0.1219
0.1248 0.7500 0.5584
0.2188 0.2500 0.7964
0.2812 0.7500 0.2964
0.3752 0.2500 0.0584
0.4498 0.7500 0.6219
0.5502 0.2500 0.3781
0.6248 0.7500 0.9416
0.7188 0.2500 0.7036
0.7812 0.7500 0.2036
0.8752 0.2500 0.4416
0.9498 0.7500 0.8781
0.1333 0.2500 0.3653
0.3667 0.7500 0.8653
0.6333 0.2500 0.1347
0.8667 0.7500 0.6347
0.0073 0.7500 0.3105
0.1871 0.7500 0.0067
0.3129 0.2500 0.5067
0.4927 0.2500 0.8105
0.5073 0.7500 0.1895
0.6871 0.7500 0.4933
0.8129 0.2500 0.9933
0.9927 0.2500 0.6895
```